# 1
Crystalline KBiAu at its relaxed geometry, computed with PBE.

Cell lengths 4.4685, 7.2337, 7.2375 Å; angles 92.63, 107.57, 107.93 degrees
Sites, in units of the cell vectors:
K1 0.0000 0.0000 0.0000
K2 0.4622 0.5539 0.3521
Bi1 0.2819 0.0158 0.5271
Bi2 0.6728 0.4597 0.8735
Au1 0.2174 0.6917 0.7319
Au2 0.9633 0.2578 0.6510

Magnetization (μB per atom): 0.000
DFT formation energy (eV per formula unit): -0.86
Symmetry: No. 1
Relative energy among the computed polymorphs (eV/atom): 0.045
V (Å³/atom): 34.95
Total DFT energy (no corrections) (eV/atom): -3.039


# 2
Crystalline K3BiAu3 at its relaxed geometry, computed with PBE.

Cell lengths 9.9809, 9.9809, 6.6763 Å; angles 90.00, 90.00, 120.00 degrees
Sites, in units of the cell vectors:
K1 0.0809 0.6961 0.2500
K2 0.3039 0.3848 0.2500
K3 0.3848 0.0809 0.7500
K4 0.6152 0.9191 0.2500
K5 0.6961 0.6152 0.7500
K6 0.9191 0.3039 0.7500
Bi1 0.3333 0.6667 0.7500
Bi2 0.6667 0.3333 0.2500
Au1 0.0736 0.7047 0.7500
Au2 0.2953 0.3689 0.7500
Au3 0.3689 0.0736 0.2500
Au4 0.6311 0.9264 0.7500
Au5 0.7047 0.6311 0.2500
Au6 0.9264 0.2953 0.2500

Magnetization (μB per atom): 0.000
DFT formation energy (eV per formula unit): -0.88
Symmetry: No. 176
Relative energy among the computed polymorphs (eV/atom): 0.199
V (Å³/atom): 41.14
Total DFT energy (no corrections) (eV/atom): -2.555


# 3
Crystalline KBiAu at its relaxed geometry, computed with PBE.

Cell lengths 4.4766, 4.8290, 6.3213 Å; angles 68.66, 69.43, 62.82 degrees
Sites, in units of the cell vectors:
K1 0.0000 0.0000 0.0000
Bi1 0.5142 0.4693 0.4956
Au1 0.8000 0.7933 0.6058

Magnetization (μB per atom): 0.000
DFT formation energy (eV per formula unit): -0.77
Symmetry: No. 1
Relative energy among the computed polymorphs (eV/atom): 0.074
V (Å³/atom): 36.79
Total DFT energy (no corrections) (eV/atom): -3.009


# 4
Crystalline KBi2Au3 at its relaxed geometry, computed with PBE.

Cell lengths 9.7555, 9.7555, 7.1374 Å; angles 103.38, 103.38, 28.92 degrees
Sites, in units of the cell vectors:
K1 0.1163 0.1163 0.1421
K2 0.8837 0.8837 0.8579
Bi1 0.2300 0.2300 0.6691
Bi2 0.4900 0.4900 0.2340
Bi3 0.5100 0.5100 0.7660
Bi4 0.7700 0.7700 0.3309
Au1 0.0685 0.0685 0.6462
Au2 0.2832 0.2832 0.0907
Au3 0.3705 0.3705 0.4833
Au4 0.6295 0.6295 0.5167
Au5 0.7168 0.7168 0.9093
Au6 0.9315 0.9315 0.3538

Magnetization (μB per atom): 0.000
DFT formation energy (eV per formula unit): -1.04
Symmetry: No. 12
V (Å³/atom): 26.58
Total DFT energy (no corrections) (eV/atom): -3.289


# 5
Crystalline KBi3Au8 at its relaxed geometry, computed with PBE.

Cell lengths 10.0507, 10.0507, 10.0507 Å; angles 33.05, 33.05, 33.05 degrees
Sites, in units of the cell vectors:
K1 0.0000 0.0000 0.0000
Bi1 0.3849 0.3849 0.3849
Bi2 0.5021 0.5021 0.5021
Bi3 0.8710 0.8710 0.8710
Au1 0.1898 0.1898 0.1898
Au2 0.4392 0.4392 0.9373
Au3 0.4392 0.9373 0.4392
Au4 0.4394 0.9390 0.9390
Au5 0.6881 0.6881 0.6881
Au6 0.9373 0.4392 0.4392
Au7 0.9390 0.4394 0.9390
Au8 0.9390 0.9390 0.4394

Magnetization (μB per atom): 0.000
DFT formation energy (eV per formula unit): -1.26
Symmetry: No. 160
V (Å³/atom): 22.39
Total DFT energy (no corrections) (eV/atom): -3.352


# 6
Crystalline K3Bi4Au2 at its relaxed geometry, computed with PBE.

Cell lengths 7.1150, 7.1150, 10.4029 Å; angles 97.98, 97.98, 39.13 degrees
Sites, in units of the cell vectors:
K1 0.0000 0.0000 0.0000
K2 0.3630 0.3630 0.6018
K3 0.6370 0.6370 0.3982
Bi1 0.0735 0.0735 0.6538
Bi2 0.2682 0.2682 0.9057
Bi3 0.7318 0.7318 0.0943
Bi4 0.9265 0.9265 0.3462
Au1 0.3509 0.3509 0.2152
Au2 0.6491 0.6491 0.7848

Magnetization (μB per atom): 0.000
DFT formation energy (eV per formula unit): -2.31
Symmetry: No. 12
Relative energy among the computed polymorphs (eV/atom): 0.017
V (Å³/atom): 36.53
Total DFT energy (no corrections) (eV/atom): -3.075


# 7
Crystalline K12BiAu5 at its relaxed geometry, computed with PBE.

Cell lengths 9.8880, 9.8880, 9.8880 Å; angles 113.70, 112.67, 102.28 degrees
Sites, in units of the cell vectors:
K1 0.0259 0.8505 0.1753
K2 0.2511 0.5696 0.3185
K3 0.2511 0.9327 0.6815
K4 0.2878 0.3231 0.6109
K5 0.2878 0.6769 0.9647
K6 0.3248 0.1495 0.1753
K7 0.6752 0.8505 0.8247
K8 0.7122 0.3231 0.0353
K9 0.7122 0.6769 0.3891
K10 0.7489 0.0673 0.3185
K11 0.7489 0.4304 0.6815
K12 0.9741 0.1495 0.8247
Bi1 0.5000 0.0000 0.5000
Au1 0.0000 0.2212 0.2212
Au2 0.0000 0.5000 0.5000
Au3 0.0000 0.7788 0.7788
Au4 0.3796 0.3796 0.0000
Au5 0.6204 0.6204 0.0000

Magnetization (μB per atom): 0.000
DFT formation energy (eV per formula unit): -4.68
Symmetry: No. 71
V (Å³/atom): 40.86
Total DFT energy (no corrections) (eV/atom): -2.117


# 8
Crystalline K3BiAu at its relaxed geometry, computed with PBE.

Cell lengths 8.6529, 8.6529, 8.6529 Å; angles 83.51, 123.68, 123.95 degrees
Sites, in units of the cell vectors:
K1 0.1942 0.0033 0.6909
K2 0.2491 0.0009 0.2501
K3 0.2491 0.4991 0.7482
K4 0.3124 0.5033 0.3091
K5 0.7509 0.5009 0.2518
K6 0.7509 0.9991 0.7499
Bi1 0.7414 0.0033 0.2381
Bi2 0.7652 0.5033 0.7619
Au1 0.2535 0.7536 0.9999
Au2 0.7537 0.2536 0.0001

Magnetization (μB per atom): 0.140
DFT formation energy (eV per formula unit): -1.26
Symmetry: No. 46
Relative energy among the computed polymorphs (eV/atom): 0.080
V (Å³/atom): 42.87
Total DFT energy (no corrections) (eV/atom): -2.341


# 9
Crystalline KBiAu at its relaxed geometry, computed with PBE.

Cell lengths 6.9432, 3.7240, 7.6670 Å; angles 90.00, 90.11, 90.00 degrees
Sites, in units of the cell vectors:
K1 0.2494 0.0000 0.2090
K2 0.7506 0.0000 0.7910
Bi1 0.2507 0.5000 0.7783
Bi2 0.7493 0.5000 0.2217
Au1 0.0000 0.5000 0.5000
Au2 0.5000 0.5000 0.5000

Magnetization (μB per atom): 0.000
DFT formation energy (eV per formula unit): -0.86
Symmetry: No. 10
Relative energy among the computed polymorphs (eV/atom): 0.043
V (Å³/atom): 33.04
Total DFT energy (no corrections) (eV/atom): -3.040


# 10
Crystalline K2Bi2Au3 at its relaxed geometry, computed with PBE.

Cell lengths 7.5513, 7.5513, 6.9420 Å; angles 90.78, 90.78, 34.51 degrees
Sites, in units of the cell vectors:
K1 0.1397 0.1397 0.1253
K2 0.8603 0.8603 0.8747
Bi1 0.4014 0.4014 0.3055
Bi2 0.5986 0.5986 0.6945
Au1 0.0000 0.0000 0.5000
Au2 0.2110 0.2110 0.5840
Au3 0.7890 0.7890 0.4160

Magnetization (μB per atom): 0.000
DFT formation energy (eV per formula unit): -1.58
Symmetry: No. 12
V (Å³/atom): 32.03
Total DFT energy (no corrections) (eV/atom): -3.052